(1)
YTa2Hg after structural relaxation, computed with PBE.

As for the formation energy: 0.361 eV/atom. The final energy is -58.05 eV per cell.

The structure belongs to space group I-4m2 (No. 119); the cell edges are 4.425, 4.425 and 8.576 Å and the angles 90.00°, 90.00° and 90.00°. The asymmetric unit holds Y at (0.000, 0.000, 0.000), Ta at (0.000, 0.000, 0.500), Ta at (0.000, 0.500, 0.250) and Hg at (0.000, 0.500, 0.750).


(2)
YTa2Hg after structural relaxation, computed with PBE.

As for the formation energy: 0.479 eV/atom. The final energy is -85.66 eV per cell.

The structure belongs to space group R-3m (No. 166, hexagonal axes); the cell edges are 3.1235, 3.1235 and 30.5289 Å and the angles 90.00°, 90.00° and 120.00°. The asymmetric unit holds Y at (0.0000, 0.0000, 0.0000), Ta at (0.0000, 0.0000, 0.2463) and Hg at (0.0000, 0.0000, 0.5000).


(3)
YTa2Hg after structural relaxation, computed with PBE.

As for the formation energy: 0.108 eV/atom. The final energy is -30.04 eV per cell.

The structure belongs to space group P4mm (No. 99); the cell edges are 3.518, 3.518 and 7.107 Å and the angles 90.00°, 90.00° and 90.00°. The asymmetric unit holds Y at (0.000, 0.000, 0.000), Ta at (0.000, 0.000, 0.541), Ta at (0.500, 0.500, 0.715) and Hg at (0.500, 0.500, 0.282).


(4)
Y3TaHg after structural relaxation, computed with PBE.

As for the formation energy: 0.579 eV/atom. The energy above the most stable polymorph in this dataset is 0.0000 eV/atom. The final energy is -28.65 eV per cell.

The structure belongs to space group Pm-3m (No. 221); the cell edges are 5.471, 5.471 and 5.471 Å and the angles 90.00°, 90.00° and 90.00°. The asymmetric unit holds Y at (0.000, 0.000, 0.500), Ta at (0.000, 0.000, 0.000) and Hg at (0.500, 0.500, 0.500).


(5)
YTaHg2 after structural relaxation, computed with PBE.

As for the formation energy: 0.210 eV/atom. The energy above the most stable polymorph in this dataset is 0.1237 eV/atom. The final energy is -36.16 eV per cell.

The structure belongs to space group C2/m (No. 12); the cell edges are 9.994, 3.212 and 5.808 Å and the angles 90.00°, 99.60° and 90.00°. The asymmetric unit holds Y at (0.000, 0.000, 0.000), Ta at (0.000, 0.500, 0.500) and Hg at (0.245, 0.000, 0.725).


(6)
YTaHg3 after structural relaxation, computed with PBE.

As for the formation energy: 0.607 eV/atom. The energy above the most stable polymorph in this dataset is 0.0000 eV/atom. The final energy is -16.18 eV per cell.

The structure belongs to space group Pm-3m (No. 221); the cell edges are 5.264, 5.264 and 5.264 Å and the angles 90.00°, 90.00° and 90.00°. The asymmetric unit holds Y at (0.000, 0.000, 0.000), Ta at (0.500, 0.500, 0.500) and Hg at (0.000, 0.500, 0.500).


(7)
YTa2Hg after structural relaxation, computed with PBE.

As for the formation energy: 0.391 eV/atom. The final energy is -57.82 eV per cell.

The structure belongs to space group C2/m (No. 12); the cell edges are 5.875, 10.400 and 3.021 Å and the angles 90.00°, 113.55° and 90.00°. The asymmetric unit holds Y at (0.000, 0.000, 0.000), Ta at (0.250, 0.250, 0.500) and Hg at (0.000, 0.500, 0.000).


(8)
YTaHg4 after structural relaxation, computed with PBE.

As for the formation energy: 0.321 eV/atom. The final energy is -70.38 eV per cell.

The structure belongs to space group F-43m (No. 216); the cell edges are 8.171, 8.171 and 8.171 Å and the angles 90.00°, 90.00° and 90.00°. The asymmetric unit holds Y at (0.000, 0.000, 0.000), Ta at (0.250, 0.250, 0.250) and Hg at (0.125, 0.125, 0.625).